Entry 1:
A relaxed Mg5Ga12Pt2 crystal, computed with PBE.

## Properties
The density of states at the Fermi level is 0.310 states/eV/atom. The total energy comes out at -59.90 eV/f.u. The energy relative to the elements is -3.523 eV per formula unit.

Cell lengths 13.4215, 7.2007, 7.8067 Å; angles 90.00, 94.05, 90.00 degrees
With the nearest neighbours (Å) after each atom.
Space group C2/m (No. 12)
Unique sites:
Mg  0.0000  0.0000  0.0000 (multiplicity 2)  2 Ga 2.60
Mg  0.1557  0.5000  0.6662 (multiplicity 4)  2 Pt 2.76, 5 Ga 2.80-2.99
Mg  0.2129  0.0000  0.7603 (multiplicity 4)  7 Ga 2.74-3.04
Ga  0.0121  0.0000  0.6695 (multiplicity 4)  2 Pt 2.57, 2 Mg 2.60-2.74, 3 Ga 2.64-2.79
Ga  0.0477  0.5000  0.2332 (multiplicity 4)  2 Pt 2.63, 4 Ga 2.74-2.94, 1 Mg 2.89
Ga  0.1483  0.3013  0.0015 (multiplicity 8)  3 Ga 2.74-2.86, 4 Mg 2.91-3.04
Ga  0.1677  0.1922  0.3850 (multiplicity 8)  1 Pt 2.61, 3 Ga 2.77-2.87, 1 Mg 2.80
Pt  0.0000  0.3054  0.5000 (multiplicity 4)  6 Ga 2.57-2.63, 2 Mg 2.76, 1 Pt 2.80

***

Entry 2:
A relaxed Ge2SeCl crystal, computed with PBE.

## Properties
The excess energy over the best structure of this formula in the dataset is 0.191 eV per formula unit. The density of states at the Fermi level is 0.337 states/eV/atom. The total energy comes out at -14.61 eV/f.u. For the raw formation energy, the calculation gives -0.0112 eV/atom.

Cell lengths 6.9213, 6.9213, 6.9213 Å; angles 90.00, 90.00, 90.00 degrees
With the nearest neighbours (Å) after each atom.
Space group Fm-3m (No. 225)
Unique sites:
Ge  0.2500  0.2500  0.2500 (multiplicity 8)  4 Cl 3.00, 4 Se 3.00
Se  0.0000  0.0000  0.0000 (multiplicity 4)  8 Ge 3.00
Cl  0.0000  0.0000  0.5000 (multiplicity 4)  8 Ge 3.00

***

Entry 3:
A relaxed Na3Dy3GaS8 crystal, computed with PBE.

## Properties
The density of states at the Fermi level is 0.856 states/eV/atom. The total energy comes out at -75.63 eV/f.u. For the raw formation energy, the calculation gives -1.4548 eV/atom.

Cell lengths 13.5360, 7.8055, 8.1179 Å; angles 90.00, 123.82, 90.00 degrees
With the nearest neighbours (Å) after each atom.
Space group C2/m (No. 12)
Unique sites:
Na  0.0000  0.0000  0.0000 (multiplicity 2)  6 S 2.91
Na  0.2500  0.2500  0.0000 (multiplicity 4)  6 S 2.91
Dy  0.0000  0.5000  0.5000 (multiplicity 2)  6 S 2.73-2.74
Dy  0.2500  0.2500  0.5000 (multiplicity 4)  6 S 2.73-2.75
Ga  0.0000  0.0000  0.5000 (multiplicity 2)  6 S 2.54-2.55
S  0.0064  0.2329  0.2861 (multiplicity 8)  1 Ga 2.55, 2 Dy 2.74
S  0.2262  0.0000  0.7135 (multiplicity 4)  1 Ga 2.54, 2 Dy 2.75
S  0.2426  0.5000  0.7277 (multiplicity 4)  3 Dy 2.73, 3 Na 2.91

***

Entry 4:
A relaxed KLiCo crystal, computed with PBE.

## Properties
The excess energy over the best structure of this formula in the dataset is 1.504 eV per formula unit. The density of states at the Fermi level is 2.069 states/eV/atom. The total energy comes out at -7.50 eV/f.u. The energy relative to the elements is 2.621 eV per formula unit.

Cell lengths 5.2499, 5.2499, 2.7662 Å; angles 90.00, 90.00, 120.00 degrees
With the nearest neighbours (Å) after each atom.
Space group P3m1 (No. 156)
Unique sites:
K  0.0000  0.0000  0.0000 (multiplicity 1)  2 K 2.77, 3 Li 3.06
Li  0.6667  0.3333  0.1433 (multiplicity 1)  2 Li 2.77, 3 K 3.06
Co  0.3333  0.6667  0.5523 (multiplicity 1)  2 Co 2.77

***

> Which value of density of states at the Fermi level does entry 3 give?

0.856 states/eV/atom

***

> Which value of density of states at the Fermi level does entry 2 give?

0.337 states/eV/atom